Entry from the Alexandria database: SrCuPb3 after structural relaxation (GGA-PBE).

Geometry as POSCAR:
```
SrCuPb3
1.0
6.181 0.000 0.000
0.000 6.181 0.000
0.000 0.000 6.181
Sr Cu Pb
1 1 3
direct
0.000 0.000 0.000 Sr
0.500 0.500 0.500 Cu
0.000 0.000 0.500 Pb
0.000 0.500 0.000 Pb
0.500 0.000 0.000 Pb
```

Values from the calculation:
**SG**: No. 221
**E_form**: 1136 meV per atom

***

Entry from the Alexandria database: Ga2Cu5Ir after structural relaxation (GGA-PBE).

Geometry as POSCAR:
```
Ga2Cu5Ir
1.0
5.272 0.000 0.000
0.000 10.556 0.000
0.000 0.000 3.737
Ga Cu Ir
4 10 2
direct
0.237 0.121 0.000 Ga
0.263 0.621 0.000 Ga
0.737 0.379 0.000 Ga
0.763 0.879 0.000 Ga
0.000 0.500 0.500 Cu
0.012 0.744 0.500 Cu
0.239 0.368 0.000 Cu
0.261 0.868 0.000 Cu
0.488 0.244 0.500 Cu
0.500 0.000 0.500 Cu
0.512 0.756 0.500 Cu
0.739 0.132 0.000 Cu
0.761 0.632 0.000 Cu
0.988 0.256 0.500 Cu
0.000 0.000 0.500 Ir
0.500 0.500 0.500 Ir
```

Values from the calculation:
**SG**: No. 55
**E_form**: -142 meV per atom

***

Entry from the Alexandria database: LaMg2Cd after structural relaxation (GGA-PBE).

Geometry as POSCAR:
```
LaMg2Cd
1.0
1.749 1.010 10.300
-1.749 1.010 10.300
0.000 -2.019 10.300
La Mg Cd
1 2 1
direct
0.000 0.000 0.000 La
0.239 0.239 0.239 Mg
0.761 0.761 0.761 Mg
0.500 0.500 0.500 Cd
```

Values from the calculation:
**SG**: No. 166
**E_form**: 19 meV per atom

***

Entry from the Alexandria database: Pr2Sn4PtRh3 after structural relaxation (GGA-PBE).

Geometry as POSCAR:
```
Pr2Sn4PtRh3
1.0
4.519 0.000 0.000
0.000 4.519 0.000
0.000 0.000 10.832
Pr Sn Pt Rh
2 4 1 3
direct
0.000 0.500 0.248 Pr
0.500 0.000 0.752 Pr
0.000 0.000 0.000 Sn
0.000 0.500 0.632 Sn
0.500 0.000 0.368 Sn
0.500 0.500 0.000 Sn
0.000 0.000 0.500 Pt
0.000 0.500 0.870 Rh
0.500 0.000 0.130 Rh
0.500 0.500 0.500 Rh
```

Values from the calculation:
**SG**: No. 115
**E_form**: -740 meV per atom

***

Entry from the Alexandria database: ErZn2Au6 after structural relaxation (GGA-PBE).

Geometry as POSCAR:
```
ErZn2Au6
1.0
5.574 0.000 0.000
-2.787 4.827 0.000
0.000 0.000 7.219
Er Zn Au
1 2 6
direct
0.000 0.000 0.000 Er
0.333 0.667 0.500 Zn
0.667 0.333 0.500 Zn
0.000 0.500 0.202 Au
0.000 0.500 0.798 Au
0.500 0.000 0.202 Au
0.500 0.000 0.798 Au
0.500 0.500 0.202 Au
0.500 0.500 0.798 Au
```

Values from the calculation:
**SG**: No. 191
**E_form**: -289 meV per atom

***

Entry from the Alexandria database: Tb4NdIn3 after structural relaxation (GGA-PBE).

Geometry as POSCAR:
```
Tb4NdIn3
1.0
2.700 1.559 9.104
-2.700 1.559 9.104
0.000 -3.118 9.104
Tb Nd In
4 1 3
direct
0.114 0.114 0.114 Tb
0.370 0.370 0.370 Tb
0.630 0.630 0.630 Tb
0.886 0.886 0.886 Tb
0.500 0.500 0.500 Nd
0.000 0.000 0.000 In
0.239 0.239 0.239 In
0.761 0.761 0.761 In
```

Values from the calculation:
**SG**: No. 166
**E_form**: -318 meV per atom

***

Entry from the Alexandria database: CrIn2Rh after structural relaxation (GGA-PBE).

Geometry as POSCAR:
```
CrIn2Rh
1.0
-2.027 2.027 4.386
2.027 -2.027 4.386
2.027 2.027 -4.386
Cr In Rh
1 2 1
direct
0.000 0.000 0.000 Cr
0.250 0.750 0.500 In
0.500 0.500 0.000 In
0.750 0.250 0.500 Rh
```

Values from the calculation:
**SG**: No. 119
**E_form**: 68 meV per atom

***

Entry from the Alexandria database: SrTe2Au2 after structural relaxation (GGA-PBE).

Geometry as POSCAR:
```
SrTe2Au2
1.0
8.109 0.000 0.000
0.000 8.109 0.000
0.000 0.000 4.014
Sr Te Au
2 4 4
direct
0.000 0.000 0.000 Sr
0.500 0.500 0.000 Sr
0.200 0.300 0.500 Te
0.300 0.800 0.500 Te
0.700 0.200 0.500 Te
0.800 0.700 0.500 Te
0.118 0.618 0.000 Au
0.382 0.118 0.000 Au
0.618 0.882 0.000 Au
0.882 0.382 0.000 Au
```

Values from the calculation:
**SG**: No. 127
**Formation energy without anion corrections**: -536 meV/atom

***

In the order shown, the computed spin magnetization values come out to 0.8, 0.0, 0.0, 0.0, 0.0, 1.9, 4.2, 0.0 Bohr magnetons per cell.
In the order shown, the computed V values come out to 47.23, 13.00, 27.29, 22.12, 21.58, 28.74, 18.02, 26.39 A^3/atom.